This record from OQMD via LeMat-Bulk describes crystalline NbAgNO at its relaxed geometry. The functional is GGA-PBE.

Cell: 3.445 3.445 7.973 Å, 90.00 90.00 90.00°
Sites, in units of the cell vectors:
O 0.000 0.000 0.000
O 0.500 0.500 0.000
Nb 0.000 0.500 0.161
Nb 0.500 0.000 0.839
Ag 0.500 0.500 0.500
Ag 0.000 0.000 0.500
N 0.500 0.000 0.249
N 0.000 0.500 0.751

Properties
- total magnetic moment (μB per formula unit) = 0.826
- symmetry = No. 129
- uncorrected energy (eV per formula unit) = -26.9
- energy relative to the lowest polymorph listed for this composition (meV per atom) = 572